[1]
Below is an optimized crystal structure of MnAs, with properties calculated at the GGA-PBE level.

Results
formation energy from the elements	-0.02	eV per atom

```
6
Lattice="1.573 5.335 -0.017 -1.573 5.335 -0.017 0.000 2.908 5.530" Properties=species:S:1:pos:R:3 pbc="T T T"
Mn 0.000 1.678 2.295
Mn 0.000 4.554 1.850
Mn 0.000 8.304 0.387
As 0.000 5.904 3.816
As 0.000 0.314 0.353
As 0.000 8.662 3.210
```

---

[2]
Below is an optimized crystal structure of BaCePm4Se8, with properties calculated at the GGA-PBE level.

```
14
Lattice="-1.542 -2.693 -8.238 -4.390 -7.495 -1.432 -8.214 0.263 -3.252" Properties=species:S:1:pos:R:3 pbc="T T T"
Ce -8.203 0.256 -3.252
Se -4.314 -3.684 -7.395
Se -3.827 -2.311 -3.232
Se -5.810 -6.207 -3.820
Se -10.471 -7.525 -9.690
Se -9.876 -6.426 -5.457
Se -7.401 -2.201 -4.650
Se -6.620 -7.621 -8.147
Se -8.271 -3.719 -9.294
Ba -9.405 -3.594 -6.471
Pm -4.730 -6.337 -6.450
Pm -6.295 -3.588 -2.352
Pm -4.887 -1.215 -5.716
Pm -4.125 0.116 -1.644
```

---

[3]
Below is an optimized crystal structure of CrTcNiAs2, with properties calculated at the GGA-PBE level.

Results
formation energy from the elements	1.25	eV per atom

```
5
Lattice="4.712 0.000 0.000 0.000 4.512 0.000 0.000 0.000 4.712" Properties=species:S:1:pos:R:3 pbc="T T T"
As 0.000 0.000 2.356
As 2.356 0.000 0.000
Cr 2.356 2.256 2.356
Tc 0.000 0.000 0.000
Ni 0.000 2.256 0.000
```

---

[4]
Below is an optimized crystal structure of Rb3Ce3DyS8, with properties calculated at the GGA-PBE level.

```
15
Lattice="8.310 0.000 0.000 -4.155 7.197 -0.026 0.000 -4.769 7.788" Properties=species:S:1:pos:R:3 pbc="T T T"
S 6.263 -1.209 2.441
S -2.109 3.637 5.321
S 2.109 3.637 5.321
S 2.046 -1.209 2.441
S 0.000 -0.016 5.334
S 4.155 2.444 2.427
S 0.000 2.408 2.370
S 4.155 0.020 5.392
Ce 4.155 -2.385 3.894
Ce 2.077 1.214 3.881
Ce -2.077 1.214 3.881
Dy 0.000 -2.385 3.894
Rb -2.077 3.599 -0.013
Rb 2.077 3.599 -0.013
Rb 0.000 0.000 0.000
```

---

[5]
Below is an optimized crystal structure of Ce2Ho2Tl3, with properties calculated at the GGA-PBE level.

Results
formation energy from the elements	-0.21	eV per atom
distance to the lowest polymorph of the same formula	0	meV/atom

```
7
Lattice="-2.734 0.141 -3.394 -1.675 -2.819 1.232 -8.977 7.404 4.739" Properties=species:S:1:pos:R:3 pbc="T T T"
Ce -5.474 1.812 1.685
Ce -7.911 2.914 0.893
Ho -3.297 -0.286 -0.157
Ho -10.089 5.012 2.734
Tl -4.890 2.219 -1.571
Tl -6.821 5.327 2.916
Tl 0.000 0.000 0.000
```

---

[6]
Below is an optimized crystal structure of TbNd6Y3Tm2, with properties calculated at the GGA-PBE level.

Results
formation energy from the elements	0.01	eV per atom

```
12
Lattice="-2.697 3.666 -4.319 -2.748 -5.375 1.710 -3.987 6.204 9.270" Properties=species:S:1:pos:R:3 pbc="T T T"
Nd -2.360 -0.397 2.653
Nd -4.360 4.237 6.316
Nd -2.343 2.621 0.641
Nd -5.071 0.258 0.344
Nd -7.088 1.874 6.020
Nd -7.071 4.892 4.007
Tm -2.714 0.651 -2.309
Tm -2.731 -2.361 -0.301
Tb 0.000 0.000 0.000
Y -4.698 5.260 1.321
Y -4.716 2.248 3.330
Y -4.733 -0.765 5.339
```

---

[7]
Below is an optimized crystal structure of La2AgBr, with properties calculated at the GGA-PBE level.

Results
distance to the lowest polymorph of the same formula	86	meV/atom

```
4
Lattice="6.308 0.001 0.007 5.204 3.566 0.007 -0.013 -0.004 5.090" Properties=species:S:1:pos:R:3 pbc="T T T"
Br 2.998 0.929 0.638
La 0.025 0.008 0.638
La 8.630 2.674 3.190
Ag 5.596 1.734 3.191
```

---

[8]
Below is an optimized crystal structure of HfCu2AgBi, with properties calculated at the GGA-PBE level.

Results
formation energy from the elements	1.06	eV per atom

```
5
Lattice="-3.110 0.194 -3.755 -3.859 -1.720 3.107 -1.117 4.606 1.162" Properties=species:S:1:pos:R:3 pbc="T T T"
Bi -4.043 1.540 0.257
Hf 0.000 0.000 0.000
Cu -1.555 0.097 -1.878
Cu -0.558 2.303 0.581
Ag -1.929 -0.860 1.553
```

---

[9]
Below is an optimized crystal structure of Zn2TcAs, with properties calculated at the GGA-PBE level.

Results
formation energy from the elements	0.24	eV per atom

```
4
Lattice="8.749 -0.073 -0.043 8.284 2.815 -0.043 8.284 1.334 2.480" Properties=species:S:1:pos:R:3 pbc="T T T"
Tc 18.989 3.058 1.796
As 6.330 1.019 0.599
Zn 0.072 0.012 0.007
Zn 12.587 2.027 1.190
```

---

[10]
Below is an optimized crystal structure of LaPr2Zr, with properties calculated at the GGA-PBE level.

Results
formation energy from the elements	0.15	eV per atom
distance to the lowest polymorph of the same formula	17	meV/atom

```
4
Lattice="-2.324 0.300 4.474 4.010 -2.103 2.224 1.995 4.575 0.729" Properties=species:S:1:pos:R:3 pbc="T T T"
Pr 0.998 2.288 0.365
Pr 2.005 -1.051 1.112
La 1.840 1.386 3.714
Zr -1.162 0.150 2.237
```

---

[11]
Below is an optimized crystal structure of YTcSe2, with properties calculated at the GGA-PBE level.

Results
distance to the lowest polymorph of the same formula	150	meV/atom

```
4
Lattice="4.934 -0.005 0.000 0.331 4.923 0.000 -2.035 -3.098 3.256" Properties=species:S:1:pos:R:3 pbc="T T T"
Se 2.849 2.661 0.000
Se 5.047 4.715 0.000
Y 0.464 2.142 1.628
Tc 2.765 -0.322 1.628
```

---

[12]
Below is an optimized crystal structure of PuTlPdRu, with properties calculated at the GGA-PBE level.

Results
formation energy from the elements	-0.08	eV per atom

```
4
Lattice="4.790 0.000 0.000 2.395 4.148 0.000 2.395 1.383 3.911" Properties=species:S:1:pos:R:3 pbc="T T T"
Ru 2.395 1.383 0.978
Pd 7.185 4.148 2.933
Pu 4.790 2.765 1.955
Tl 0.000 0.000 0.000
```

---

[13]
Below is an optimized crystal structure of Y5AlPd4, with properties calculated at the GGA-PBE level.

Results
formation energy from the elements	-0.78	eV per atom

```
10
Lattice="-1.212 2.538 2.131 -2.342 0.950 -2.463 -11.837 -11.409 6.857" Properties=species:S:1:pos:R:3 pbc="T T T"
Y -3.030 0.536 0.560
Y -7.696 -3.961 3.263
Y -10.036 -6.216 4.619
Y -5.355 -1.705 1.907
Y -12.361 -8.458 5.966
Pd -4.746 -4.575 2.750
Pd -2.396 -2.309 1.388
Pd -7.091 -6.835 4.108
Pd -9.441 -9.100 5.470
Al 0.000 0.000 0.000
```

---

[14]
Below is an optimized crystal structure of Sr2Li2MgHg5, with properties calculated at the GGA-PBE level.

Results
formation energy from the elements	-0.38	eV per atom

```
20
Lattice="3.895 0.000 0.000 0.000 11.210 0.000 0.000 0.000 11.210" Properties=species:S:1:pos:R:3 pbc="T T T"
Sr 0.000 3.588 9.194
Sr 0.000 9.194 7.622
Sr 0.000 2.017 3.588
Sr 0.000 7.622 2.017
Li 0.000 1.340 6.945
Li 0.000 9.870 4.265
Li 0.000 6.945 9.870
Li 0.000 4.265 1.340
Hg 1.948 8.977 10.578
Hg 1.948 0.000 5.605
Hg 1.948 0.632 8.977
Hg 1.948 4.973 3.372
Hg 1.948 5.605 0.000
Hg 1.948 10.578 2.233
Hg 1.948 7.838 4.973
Hg 1.948 2.233 0.632
Hg 1.948 6.238 7.838
Hg 1.948 3.372 6.238
Mg 0.000 5.605 5.605
Mg 0.000 0.000 0.000
```

---

[15]
Below is an optimized crystal structure of Ni2MoOs, with properties calculated at the GGA-PBE level.

Results
formation energy from the elements	0.01	eV per atom
distance to the lowest polymorph of the same formula	29	meV/atom

```
4
Lattice="4.096 0.000 0.000 0.000 2.590 0.000 0.000 1.086 4.875" Properties=species:S:1:pos:R:3 pbc="T T T"
Os 0.000 1.766 2.289
Mo 2.048 2.821 3.774
Ni 0.000 0.476 0.012
Ni 2.048 0.449 1.237
```

---

[16]
Below is an optimized crystal structure of LaHg2Mo, with properties calculated at the GGA-PBE level.

Results
formation energy from the elements	0.30	eV per atom
distance to the lowest polymorph of the same formula	54	meV/atom

```
4
Lattice="0.000 3.680 3.680 3.680 0.000 3.680 3.680 3.680 0.000" Properties=species:S:1:pos:R:3 pbc="T T T"
Hg 5.519 5.519 5.519
Hg 1.840 1.840 1.840
Mo 0.000 0.000 0.000
La 3.680 3.680 3.680
```

---

[17]
Below is an optimized crystal structure of KBaIO6, with properties calculated at the GGA-PBE level.

```
9
Lattice="-3.071 4.849 2.313 -6.189 0.049 -0.027 -0.037 -2.279 4.732" Properties=species:S:1:pos:R:3 pbc="T T T"
I -3.107 0.494 3.129
O -2.424 2.221 2.779
O -4.005 -1.119 3.531
O -1.564 -0.101 4.045
O -3.774 1.295 4.704
O -2.216 -0.199 1.612
O -4.647 0.860 2.098
Ba -9.295 2.617 7.018
K -6.190 2.125 3.890
```

---

[18]
Below is an optimized crystal structure of NaSr2NiN2, with properties calculated at the GGA-PBE level.

```
12
Lattice="4.496 0.000 0.000 0.000 6.348 0.000 0.000 0.000 7.903" Properties=species:S:1:pos:R:3 pbc="T T T"
Sr 0.000 3.882 1.967
Sr 2.248 0.708 1.984
Sr 0.000 2.466 5.936
Sr 2.248 5.640 5.918
Ni 0.000 0.000 0.000
Ni 2.248 3.174 3.951
N 0.000 4.728 7.105
N 2.248 4.793 3.154
N 2.248 1.554 4.749
N 0.000 1.620 0.797
Na 2.248 3.174 0.000
Na 0.000 0.000 3.951
```

---

| no. | volume (Å³/cell) | VASP energy (eV per atom) |
| --- | --- | --- |
| 1 | 93 | -6.93 |
| 2 | 485 | -5.69 |
| 3 | 100 | -5.77 |
| 4 | 465 | -5.71 |
| 5 | 189 | -4.23 |
| 6 | 398 | -5.12 |
| 7 | 114 | -4.27 |
| 8 | 125 | -3.92 |
| 9 | 64 | -4.15 |
| 10 | 129 | -5.61 |
| 11 | 79 | -6.61 |
| 12 | 78 | -7.87 |
| 13 | 222 | -6.46 |
| 14 | 490 | -1.41 |
| 15 | 52 | -8.39 |
| 16 | 100 | -3.79 |
| 17 | 174 | -4.80 |
| 18 | 226 | -4.81 |